1.
Entry from Alexandria via LeMat-Bulk: a PBEsol-optimized structure of CsPdBr3 (meta-GGA SCAN). Values from VASP.

Formation energy (no corrections): -504.9 kJ/mol of formula units
Spin magnetization: 0.0 Bohr magnetons per cell
E: -26.839 eV/atom

The structure in Quantum ESPRESSO input format:
```
&SYSTEM
  ibrav = 0, nat = 20, ntyp = 3
/
ATOMIC_SPECIES
Br 79.90 Br.upf
Cs 132.91 Cs.upf
Pd 106.42 Pd.upf
CELL_PARAMETERS angstrom
-1.6320 7.3211 -5.1738
-0.4170 -1.4430 -9.9345
-9.2395 0.8938 -3.8448
ATOMIC_POSITIONS angstrom
Br -6.1012 0.0948 -5.9655
Br -4.8849 1.0439 -13.0301
Br -0.6316 0.7547 -6.7570
Br -4.3196 3.0673 -10.3453
Br -6.9689 3.7046 -8.6078
Br -1.1008 2.6728 -3.8947
Br -3.0542 6.6347 -5.6965
Br -8.2343 0.1372 -13.2566
Br -6.4036 5.7279 -5.9230
Br -10.1877 4.0990 -15.0584
Br -5.1873 6.6771 -12.9876
Br -10.6569 6.0172 -12.1961
Cs -3.8211 2.9436 -6.6655
Cs -4.6371 6.6042 -9.2524
Cs -7.4674 3.8282 -12.2876
Cs -6.6514 0.1677 -9.7007
Pd -10.0092 7.4509 -10.3717
Pd -1.2793 -0.6791 -8.5814
Pd -2.9552 2.1381 -12.0905
Pd -8.3333 4.6338 -6.8626
```



2.
Entry from Alexandria via LeMat-Bulk: a PBEsol-optimized structure of CsRb3B (meta-GGA SCAN). Values from VASP.

Energy of formation from the pure elements: 1.46 eV/atom
Spin magnetization: 2.2 Bohr magnetons per cell
E: -20.036 eV/atom

The structure in Quantum ESPRESSO input format:
```
&SYSTEM
  ibrav = 0, nat = 5, ntyp = 3
/
ATOMIC_SPECIES
B 10.81 B.upf
Rb 85.47 Rb.upf
Cs 132.91 Cs.upf
CELL_PARAMETERS angstrom
8.2180 0.0000 0.0000
0.0000 8.2180 0.0000
0.0000 0.0000 8.2180
ATOMIC_POSITIONS angstrom
B 4.1090 4.1090 4.1090
Rb 0.0000 0.0000 4.1090
Rb 0.0000 4.1090 0.0000
Rb 4.1090 0.0000 0.0000
Cs 0.0000 0.0000 0.0000
```



| no. | D(E_F) (states/eV per atom) |
| --- | --- |
| 1 | 0.00 |
| 2 | 1.64 |